Pu2Ge3Au5: relaxed, PBE.

a = 4.3538 Å, b = 4.3538 Å, c = 11.4343 Å
α = 90.00°, β = 90.00°, γ = 90.00°
Sites, in units of the cell vectors:
Pu (0.0000, 0.5000, 0.2419)
Pu (0.5000, 0.0000, 0.7581)
Ge (0.0000, 0.5000, 0.6295)
Ge (0.5000, 0.0000, 0.3705)
Ge (0.5000, 0.5000, 0.5000)
Au (0.0000, 0.0000, 0.0000)
Au (0.0000, 0.0000, 0.5000)
Au (0.0000, 0.5000, 0.8445)
Au (0.5000, 0.0000, 0.1555)
Au (0.5000, 0.5000, 0.0000)

Output
- space-group type = P-4m2, No. 115
- E_tot (eV per cell) = -60.87
- excess energy over the best structure of this formula in the dataset (kJ/mol of formula units) = 116.8
- crystal system = tetragonal

=====

Pu3Ge2Au: relaxed, PBE.

a = 3.8520 Å, b = 3.8520 Å, c = 8.4615 Å
α = 90.00°, β = 90.00°, γ = 90.00°
Sites, in units of the cell vectors:
Pu (0.0000, 0.0000, 0.0000)
Pu (0.0000, 0.0000, 0.3018)
Pu (0.0000, 0.0000, 0.6982)
Ge (0.5000, 0.5000, 0.1533)
Ge (0.5000, 0.5000, 0.8467)
Au (0.5000, 0.5000, 0.5000)

Output
- space-group type = P4/mmm, No. 123
- E_tot (eV per cell) = -56.89
- crystal system = tetragonal

=====

Pu2Ge7Au12: relaxed, PBE.

a = 10.1136 Å, b = 10.1136 Å, c = 4.7879 Å
α = 90.00°, β = 90.00°, γ = 120.00°
Sites, in units of the cell vectors:
Pu (0.3333, 0.6667, 0.2294)
Pu (0.6667, 0.3333, 0.7706)
Ge (0.0000, 0.0000, 0.5000)
Ge (0.1142, 0.7249, 0.6579)
Ge (0.2751, 0.3893, 0.6579)
Ge (0.3893, 0.1142, 0.3421)
Ge (0.6107, 0.8858, 0.6579)
Ge (0.7249, 0.6107, 0.3421)
Ge (0.8858, 0.2751, 0.3421)
Au (0.0666, 0.4593, 0.7781)
Au (0.1233, 0.2643, 0.1754)
Au (0.1410, 0.8767, 0.1754)
Au (0.2643, 0.1410, 0.8246)
Au (0.3927, 0.9334, 0.7781)
Au (0.4593, 0.3927, 0.2219)
Au (0.5407, 0.6073, 0.7781)
Au (0.6073, 0.0666, 0.2219)
Au (0.7357, 0.8590, 0.1754)
Au (0.8590, 0.1233, 0.8246)
Au (0.8767, 0.7357, 0.8246)
Au (0.9334, 0.5407, 0.2219)

Output
- space-group type = P-3, No. 147
- E_tot (eV per cell) = -102.90
- crystal system = trigonal

=====

Pu2Ge3Au5: relaxed, PBE.

a = 12.6869 Å, b = 12.6869 Å, c = 7.1510 Å
α = 90.00°, β = 90.00°, γ = 159.22°
Sites, in units of the cell vectors:
Pu (0.0174, 0.9826, 0.5000)
Pu (0.3265, 0.6735, 0.5288)
Pu (0.6735, 0.3265, 0.0288)
Pu (0.9826, 0.0174, 0.0000)
Ge (0.1040, 0.8960, 0.1870)
Ge (0.2691, 0.7309, 0.0745)
Ge (0.4511, 0.5489, 0.3004)
Ge (0.5489, 0.4511, 0.8004)
Ge (0.7309, 0.2691, 0.5745)
Ge (0.8960, 0.1040, 0.6870)
Au (0.1042, 0.8958, 0.8148)
Au (0.1925, 0.8075, 0.3696)
Au (0.2171, 0.7829, 0.7645)
Au (0.3764, 0.6236, 0.0344)
Au (0.4467, 0.5533, 0.7028)
Au (0.5533, 0.4467, 0.2028)
Au (0.6236, 0.3764, 0.5344)
Au (0.7829, 0.2171, 0.2645)
Au (0.8075, 0.1925, 0.8696)
Au (0.8958, 0.1042, 0.3148)

Output
- space-group type = Cmc2_1, No. 36
- E_tot (eV per cell) = -124.17
- excess energy over the best structure of this formula in the dataset (kJ/mol of formula units) = 0.0
- crystal system = orthorhombic

=====

PuGe2Au: relaxed, PBE.

a = 4.8501 Å, b = 4.8501 Å, c = 4.8501 Å
α = 60.00°, β = 60.00°, γ = 60.00°
Sites, in units of the cell vectors:
Pu (0.0000, 0.0000, 0.0000)
Ge (0.2500, 0.2500, 0.2500)
Ge (0.7500, 0.7500, 0.7500)
Au (0.5000, 0.5000, 0.5000)

Output
- space-group type = Fm-3m, No. 225
- E_tot (eV per cell) = -27.63
- crystal system = cubic

=====

Pu3GeAu: relaxed, PBE.

a = 4.0249 Å, b = 5.2664 Å, c = 5.5957 Å
α = 84.85°, β = 71.82°, γ = 72.94°
Sites, in units of the cell vectors:
Pu (0.0000, 0.0000, 0.0000)
Pu (0.1383, 0.1725, 0.3801)
Pu (0.8282, 0.7993, 0.5971)
Ge (0.4096, 0.3866, 0.7857)
Au (0.5839, 0.5851, 0.1843)

Output
- space-group type = P1, No. 1
- E_tot (eV per cell) = -51.87
- crystal system = triclinic

=====

Number 1: DOS at the Fermi energy 31.86 states/eV/cell. Number 2: DOS at the Fermi energy 19.23 states/eV/cell. Number 3: DOS at the Fermi energy 35.49 states/eV/cell. Number 4: DOS at the Fermi energy 56.76 states/eV/cell. Number 5: DOS at the Fermi energy 10.33 states/eV/cell. Number 6: DOS at the Fermi energy 19.42 states/eV/cell.